Computed, not measured: a PBEsol-optimized structure of Li2FeP2O7 at the SCAN level of DFT.

POSCAR file:
```
Li2FeP2O7
1.0
5.4569 0.0132 0.0211
-0.0211 7.4602 -0.0194
-0.0211 -3.2456 6.7172
O Li P Fe
14 4 4 2
Cartesian
4.0890 0.4118 0.6544 O
2.6013 4.0980 3.9000 O
5.3513 0.1352 2.8275 O
1.3256 3.8161 6.0645 O
2.6013 1.7427 5.3820 O
0.0633 1.7373 5.3735 O
1.3454 5.0845 0.8729 O
2.8133 0.1299 2.8189 O
0.0633 4.0926 3.8914 O
4.0692 -0.8566 5.8460 O
5.3513 2.4905 1.3454 O
4.0692 5.6410 1.7574 O
2.8133 2.4851 1.3369 O
1.3454 -1.4132 4.9615 O
-0.0211 4.3674 1.9268 Li
2.7073 -0.1468 4.7820 Li
-0.0211 -0.1528 4.7711 Li
2.7073 4.3746 1.9369 Li
1.3287 4.5811 4.6342 P
1.3287 2.1956 6.1353 P
4.0858 -0.3532 2.0847 P
4.0858 2.0322 0.5836 P
4.0608 2.9261 4.6502 Fe
1.3538 1.3017 2.0687 Fe
```

The raw formation energy is -2715 kJ/mol of formula units. As for the distance to the lowest polymorph of the same formula: 25.9 meV/atom. The space-group type is C2/m (12).


Computed, not measured: a PBEsol-optimized structure of LiFe4P4O16 at the SCAN level of DFT.

POSCAR file:
```
LiFe4P4O16
1.0
-1.9754 -2.1777 3.7905
2.6881 -5.0071 -1.5082
7.9321 2.6429 5.4116
Fe O P Li
4 16 4 1
Cartesian
2.8375 -0.5931 1.2538 Fe
2.7786 -4.2809 2.1061 Fe
5.8074 -3.9493 6.4398 Fe
5.8661 -0.2609 5.5878 Fe
4.7208 -4.4182 1.2109 O
-0.0455 -1.3773 3.6177 O
3.9235 -0.1241 6.4824 O
7.6438 -3.0886 6.4524 O
3.5138 -4.4448 3.8446 O
1.0013 -1.4528 1.2418 O
2.5518 -1.9011 5.2382 O
5.1309 -0.0975 3.8493 O
7.4654 -1.1868 4.7163 O
6.8752 -0.1767 7.2754 O
8.6906 -3.1644 4.0762 O
1.7699 -4.3648 0.4178 O
6.0928 -2.6416 2.4555 O
5.0159 -2.1800 5.8833 O
3.6286 -2.3626 1.8100 O
1.1797 -3.3546 2.9776 O
8.3550 -2.2966 5.3555 P
3.5986 -1.6523 6.3217 P
5.0460 -2.8903 1.3720 P
0.2898 -2.2450 2.3384 P
2.6887 -5.0057 -1.5058 Li
```

The raw formation energy is -5304 kJ/mol of formula units. As for the distance to the lowest polymorph of the same formula: 9.5 meV/atom. The space-group type is P-1 (2).


Computed, not measured: a PBEsol-optimized structure of Li2FeP4O12 at the SCAN level of DFT.

POSCAR file:
```
Li2FeP4O12
1.0
-4.8763 0.6354 -1.7246
2.0904 -6.4200 -1.9708
-1.8470 -0.2026 6.8675
P O Li Fe
4 12 2 1
Cartesian
-0.8818 -3.7597 3.9238 P
-3.7511 -2.2276 -0.7517 P
-0.3516 -4.9032 -0.6681 P
-4.2813 -1.0840 3.8402 P
-1.4784 -3.5331 2.5849 O
-4.6893 -4.1926 2.3667 O
-2.0581 -4.0626 4.9790 O
-5.2095 -1.7164 2.6955 O
-4.9910 0.2018 4.2462 O
-1.7653 -4.9708 -0.2575 O
0.5766 -4.2708 0.4766 O
-3.1545 -2.4541 0.5872 O
-2.5748 -1.9246 -1.8069 O
0.0564 -1.7946 0.8054 O
-2.8676 -1.0164 3.4297 O
0.3581 -6.1891 -1.0741 O
-2.7265 -4.3326 1.3137 Li
-1.9064 -1.6547 1.8584 Li
0.0000 0.0000 0.0000 Fe
```

The raw formation energy is -4310 kJ/mol of formula units. As for the distance to the lowest polymorph of the same formula: 22.9 meV/atom. The space-group type is P-1 (2).


Computed, not measured: a PBEsol-optimized structure of Li2FeP2O7 at the SCAN level of DFT.

POSCAR file:
```
Li2FeP2O7
1.0
-1.3382 1.7616 -4.4704
-3.9669 -5.8600 1.0816
-2.8636 6.6200 4.4386
Li P O Fe
4 4 14 2
Cartesian
-3.2403 -3.3167 0.4956 Li
-3.2592 4.0579 2.0033 Li
-4.9284 5.8383 0.5542 Li
-4.9095 -1.5363 -0.9534 Li
-6.2438 0.5424 0.4581 P
-1.9248 1.9792 0.5917 P
-5.9289 2.9747 2.0794 P
-2.2398 -0.4531 -1.0295 P
-3.6528 -0.1487 -1.5317 O
-2.2710 1.0988 1.8194 O
-4.6069 -3.1012 1.8876 O
-4.2008 5.6538 2.3187 O
-3.0947 2.8819 0.2050 O
-1.5865 0.9611 -0.5945 O
-3.9678 -3.1322 -1.2688 O
-6.5822 1.5605 1.6444 O
-4.5159 2.6703 2.5815 O
-3.5618 5.6228 -0.8378 O
-5.8807 3.8578 0.8112 O
-5.8977 1.4228 -0.7695 O
-2.2880 -1.3362 0.2387 O
-5.0740 -0.3602 0.8449 O
-4.7412 3.0770 -0.9379 Fe
-3.4275 -0.5554 1.9878 Fe
```

The raw formation energy is -2719 kJ/mol of formula units. As for the distance to the lowest polymorph of the same formula: 22.3 meV/atom. The space-group type is P-1 (2).


Computed, not measured: a PBEsol-optimized structure of LiFeP2O7 at the SCAN level of DFT.

POSCAR file:
```
LiFeP2O7
1.0
-0.8057 -6.1499 2.3301
8.2149 -0.8364 0.6328
-0.0574 5.1070 7.4956
O Li Fe P
28 4 4 8
Cartesian
0.3426 -2.9546 2.3298 O
5.9355 0.0549 4.3056 O
5.6625 -3.8296 2.7146 O
1.7184 -0.5701 4.0338 O
2.8307 -3.2079 2.5215 O
3.2511 3.8891 6.7606 O
5.6334 -1.3092 6.4246 O
1.3803 -0.0400 9.1248 O
4.8141 2.1496 5.2247 O
0.3524 0.2651 6.0484 O
0.7151 4.1473 6.5652 O
1.6893 1.9504 7.7438 O
7.0093 1.0753 8.1286 O
6.9994 -2.1444 4.4100 O
0.0505 -3.7756 5.0421 O
2.9026 0.0054 6.2448 O
5.4315 -4.0180 5.4647 O
5.4181 -1.3729 9.1357 O
1.9203 2.1387 4.9937 O
1.4163 -1.9341 6.1528 O
1.9338 -0.5063 1.3227 O
7.3013 1.8963 5.4163 O
5.9716 -1.8393 1.3336 O
4.5212 1.3287 7.9370 O
4.1007 -5.7684 3.6978 O
2.5377 -4.0288 5.2337 O
6.6368 -6.0266 3.8932 O
4.4492 -1.8847 4.2136 O
4.1625 -0.9692 7.6509 Li
3.1893 -0.9101 2.8075 Li
6.9394 -1.2519 7.8648 Li
0.4125 -0.6274 2.5936 Li
7.1223 -4.1441 4.2200 Fe
3.3934 1.9427 6.4821 Fe
3.9585 -3.8219 3.9763 Fe
0.2296 2.2648 6.2384 Fe
5.7616 1.7029 8.7415 P
6.0723 1.6022 4.5749 P
1.5902 -3.5822 1.7169 P
5.7379 -1.4143 4.9294 P
1.9914 4.5965 7.3200 P
1.6140 -0.4649 5.5290 P
5.3605 -6.4758 3.1384 P
1.2795 -3.4815 5.8835 P
```

The raw formation energy is -2472 kJ/mol of formula units. As for the distance to the lowest polymorph of the same formula: 22.7 meV/atom. The space-group type is P2_1/m (11).


Computed, not measured: a PBEsol-optimized structure of LiFeP2O7 at the SCAN level of DFT.

POSCAR file:
```
LiFeP2O7
1.0
4.9287 0.0575 0.0209
-2.3294 7.5144 -0.4643
-0.0417 -3.2313 8.0640
Li Fe O P
2 2 14 4
Cartesian
2.3279 -2.3830 7.3914 Li
0.2430 -0.6272 3.3229 Li
0.3634 2.1700 4.4205 Fe
2.1787 3.6343 0.3222 Fe
-1.1056 5.5689 2.0161 O
2.2538 2.0554 7.5036 O
0.1685 1.3170 2.6463 O
3.7835 0.7856 0.5672 O
2.7300 -0.4892 6.6906 O
-0.3613 3.7679 3.6810 O
1.0503 2.0346 0.3818 O
3.5860 1.5290 5.4145 O
-1.0164 3.1449 1.3242 O
3.5597 -0.7420 4.2888 O
1.6849 3.1970 5.3301 O
-1.0173 3.6757 6.4673 O
1.3617 0.4953 4.8078 O
1.1502 4.3491 1.7485 O
2.8172 2.7649 6.2708 P
2.7762 0.0614 5.2525 P
-0.2901 4.3656 2.2726 P
-0.2091 1.6723 1.1919 P
```

The raw formation energy is -2381 kJ/mol of formula units. As for the distance to the lowest polymorph of the same formula: 109.1 meV/atom. The space-group type is P1 (1).


Question: Which value of distance to the lowest polymorph of the same formula does entry 1 give?
Answer: 25.9 meV/atom


Question: Which of these has the highest raw formation energy?
Answer: number 6